1.
# MnGePSN (GGA-PBE, relaxed)
data_MnGePSN
_chemical_formula_sum 'Mn2 Ge2 P2 S2 N2'
_cell_length_a 2.814
_cell_length_b 3.842
_cell_length_c 14.396
_cell_angle_alpha 90.00
_cell_angle_beta 90.00
_cell_angle_gamma 90.00
_symmetry_space_group_name_H-M 'I m m 2'
_symmetry_Int_Tables_number 44
loop_
_symmetry_equiv_pos_as_xyz
'x,y,z'
'-x,-y,z'
'-x,y,z'
'x,-y,z'
'x+1/2,y+1/2,z+1/2'
'-x+1/2,-y+1/2,z+1/2'
'-x+1/2,y+1/2,z+1/2'
'x+1/2,-y+1/2,z+1/2'
loop_
_atom_site_label
_atom_site_fract_x
_atom_site_fract_y
_atom_site_fract_z
Mn1 0.000 0.000 0.000
Ge1 0.000 0.000 0.816
P1 0.000 0.500 0.710
S1 0.000 0.000 0.478
N1 0.000 0.000 0.143
# Raw formation energy ... -0.055 eV per atom
# ΔE to the lowest computed polymorph ... 104 meV/atom
# Total magnetic moment ... 3.53 μB/f.u.
# N(E_F) ... 0.407 states/eV per atom

***

2.
# LiIn2Au (GGA-PBE, relaxed)
data_LiIn2Au
_chemical_formula_sum 'Li2 In4 Au2'
_cell_length_a 4.332
_cell_length_b 8.227
_cell_length_c 5.434
_cell_angle_alpha 90.00
_cell_angle_beta 113.36
_cell_angle_gamma 90.00
_symmetry_space_group_name_H-M 'P 1 21/m 1'
_symmetry_Int_Tables_number 11
loop_
_symmetry_equiv_pos_as_xyz
'x,y,z'
'-x,-y,-z'
'-x,y+1/2,-z'
'x,-y+1/2,z'
loop_
_atom_site_label
_atom_site_fract_x
_atom_site_fract_y
_atom_site_fract_z
Li1 0.071 0.250 0.144
In1 0.361 0.051 0.724
Au1 0.218 0.750 0.435
# Total magnetic moment ... 0.00 μB/f.u.
# Formation energy from the elements ... -312 meV/atom
# N(E_F) ... 0.237 states/eV per atom

***

3.
# Na8B13C3 (GGA-PBE, relaxed)
data_Na8B13C3
_chemical_formula_sum 'Na16 B26 C6'
_cell_length_a 2.913
_cell_length_b 34.425
_cell_length_c 5.159
_cell_angle_alpha 90.00
_cell_angle_beta 90.00
_cell_angle_gamma 90.00
_symmetry_space_group_name_H-M 'I m m 2'
_symmetry_Int_Tables_number 44
loop_
_symmetry_equiv_pos_as_xyz
'x,y,z'
'-x,-y,z'
'-x,y,z'
'x,-y,z'
'x+1/2,y+1/2,z+1/2'
'-x+1/2,-y+1/2,z+1/2'
'-x+1/2,y+1/2,z+1/2'
'x+1/2,-y+1/2,z+1/2'
loop_
_atom_site_label
_atom_site_fract_x
_atom_site_fract_y
_atom_site_fract_z
Na1 0.000 0.063 0.000
Na2 0.000 0.189 0.002
Na3 0.000 0.311 0.000
Na4 0.000 0.437 0.001
B1 0.000 0.000 0.639
B2 0.000 0.125 0.336
B3 0.000 0.127 0.665
B4 0.000 0.250 0.671
B5 0.000 0.373 0.335
B6 0.000 0.375 0.665
B7 0.000 0.500 0.344
B8 0.000 0.500 0.679
C1 0.000 0.000 0.336
C2 0.000 0.250 0.336
# ΔE to the lowest computed polymorph ... 37 meV/atom
# Total magnetic moment ... 0.00 μB/f.u.
# Formation energy from the elements ... 219 meV/atom
# N(E_F) ... 0.265 states/eV per atom

***

4.
# MgSbPd4 (GGA-PBE, relaxed)
data_MgSbPd4
_chemical_formula_sum 'Mg2 Sb2 Pd8'
_cell_length_a 4.626
_cell_length_b 9.284
_cell_length_c 4.658
_cell_angle_alpha 90.00
_cell_angle_beta 98.15
_cell_angle_gamma 90.00
_symmetry_space_group_name_H-M 'C 1 2/m 1'
_symmetry_Int_Tables_number 12
loop_
_symmetry_equiv_pos_as_xyz
'x,y,z'
'-x,-y,-z'
'-x,y,-z'
'x,-y,z'
'x+1/2,y+1/2,z'
'-x+1/2,-y+1/2,-z'
'-x+1/2,y+1/2,-z'
'x+1/2,-y+1/2,z'
loop_
_atom_site_label
_atom_site_fract_x
_atom_site_fract_y
_atom_site_fract_z
Mg1 0.000 0.000 0.000
Sb1 0.000 0.500 0.500
Pd1 0.000 0.159 0.500
Pd2 0.000 0.341 0.000
# Raw formation energy ... -0.512 eV per atom
# ΔE to the lowest computed polymorph ... 0 meV/atom
# Total magnetic moment ... 0.00 μB/f.u.
# N(E_F) ... 0.419 states/eV per atom

***

5.
# Y3Ho6Tm2Zr (GGA-PBE, relaxed)
data_Y3Ho6Tm2Zr
_chemical_formula_sum 'Y6 Ho12 Tm4 Zr2'
_cell_length_a 6.062
_cell_length_b 10.482
_cell_length_c 11.593
_cell_angle_alpha 90.00
_cell_angle_beta 99.96
_cell_angle_gamma 90.00
_symmetry_space_group_name_H-M 'C 1 2/m 1'
_symmetry_Int_Tables_number 12
loop_
_symmetry_equiv_pos_as_xyz
'x,y,z'
'-x,-y,-z'
'-x,y,-z'
'x,-y,z'
'x+1/2,y+1/2,z'
'-x+1/2,-y+1/2,-z'
'-x+1/2,y+1/2,-z'
'x+1/2,-y+1/2,z'
loop_
_atom_site_label
_atom_site_fract_x
_atom_site_fract_y
_atom_site_fract_z
Y1 0.000 0.000 0.000
Y2 0.000 0.333 0.000
Ho1 0.245 0.336 0.743
Ho2 0.246 0.500 0.258
Tm1 0.000 0.167 0.500
Zr1 0.000 0.500 0.500
# Total magnetic moment ... 0.00 μB/f.u.
# Formation energy from the elements ... 44 meV/atom
# N(E_F) ... 1.302 states/eV per atom

***

6.
# BaTa2As (GGA-PBE, relaxed)
data_BaTa2As
_chemical_formula_sum 'Ba2 Ta4 As2'
_cell_length_a 4.336
_cell_length_b 4.336
_cell_length_c 9.531
_cell_angle_alpha 90.00
_cell_angle_beta 90.00
_cell_angle_gamma 90.00
_symmetry_space_group_name_H-M 'I 4/m m m'
_symmetry_Int_Tables_number 139
_symmetry_space_group_name_Hall '-I 4 2'
loop_
_atom_site_label
_atom_site_fract_x
_atom_site_fract_y
_atom_site_fract_z
Ba1 0.000 0.000 0.000
Ta1 0.000 0.500 0.250
As1 0.000 0.000 0.500
# Total magnetic moment ... 0.00 μB/f.u.
# Formation energy from the elements ... 938 meV/atom
# N(E_F) ... 1.113 states/eV per atom

***

7.
# KScTe2 (GGA-PBE, relaxed)
data_KScTe2
_chemical_formula_sum 'K1 Sc1 Te2'
_cell_length_a 3.791
_cell_length_b 3.799
_cell_length_c 8.458
_cell_angle_alpha 90.00
_cell_angle_beta 95.71
_cell_angle_gamma 90.00
_symmetry_space_group_name_H-M 'P 1 2/m 1'
_symmetry_Int_Tables_number 10
loop_
_symmetry_equiv_pos_as_xyz
'x,y,z'
'-x,-y,-z'
'-x,y,-z'
'x,-y,z'
loop_
_atom_site_label
_atom_site_fract_x
_atom_site_fract_y
_atom_site_fract_z
K1 0.000 0.000 0.000
Sc1 0.000 0.000 0.500
Te1 0.449 0.500 0.705
# Raw formation energy ... -0.980 eV per atom
# Total magnetic moment ... 0.00 μB/f.u.
# N(E_F) ... 0.163 states/eV per atom

***

8.
# Hf2MgCdIn (GGA-PBE, relaxed)
data_Hf2MgCdIn
_chemical_formula_sum 'Hf2 Mg1 Cd1 In1'
_cell_length_a 5.320
_cell_length_b 5.320
_cell_length_c 5.155
_cell_angle_alpha 90.00
_cell_angle_beta 90.00
_cell_angle_gamma 90.00
_symmetry_space_group_name_H-M 'P 4/m m m'
_symmetry_Int_Tables_number 123
_symmetry_space_group_name_Hall '-P 4 2'
loop_
_atom_site_label
_atom_site_fract_x
_atom_site_fract_y
_atom_site_fract_z
Hf1 0.000 0.500 0.000
Mg1 0.000 0.000 0.500
Cd1 0.500 0.500 0.500
In1 0.500 0.500 0.000
# Total magnetic moment ... 0.00 μB/f.u.
# Formation energy from the elements ... 1019 meV/atom
# N(E_F) ... 0.612 states/eV per atom

***

9.
# SmDy2Tl2Cd2 (GGA-PBE, relaxed)
data_SmDy2Tl2Cd2
_chemical_formula_sum 'Sm3 Dy6 Tl6 Cd6'
_cell_length_a 5.0240
_cell_length_b 5.0240
_cell_length_c 26.2715
_cell_angle_alpha 90.00
_cell_angle_beta 90.00
_cell_angle_gamma 120.00
_symmetry_space_group_name_H-M 'R -3 m'
_symmetry_Int_Tables_number 166
_symmetry_space_group_name_Hall '-R 3 2"'
loop_
_atom_site_label
_atom_site_fract_x
_atom_site_fract_y
_atom_site_fract_z
Sm1 0.0000 0.0000 0.0000
Dy1 0.0000 0.0000 0.1334
Tl1 0.0000 0.0000 0.2688
Cd1 0.0000 0.0000 0.4297
# Total magnetic moment ... 0.00 μB/f.u.
# Formation energy from the elements ... -155 meV/atom
# N(E_F) ... 0.665 states/eV per atom

***

10.
# Cs2HgPbI4 (GGA-PBE, relaxed)
data_Cs2HgPbI4
_chemical_formula_sum 'Cs4 Hg2 Pb2 I8'
_cell_length_a 15.966
_cell_length_b 5.049
_cell_length_c 10.369
_cell_angle_alpha 90.00
_cell_angle_beta 108.26
_cell_angle_gamma 90.00
_symmetry_space_group_name_H-M 'C 1 2/m 1'
_symmetry_Int_Tables_number 12
loop_
_symmetry_equiv_pos_as_xyz
'x,y,z'
'-x,-y,-z'
'-x,y,-z'
'x,-y,z'
'x+1/2,y+1/2,z'
'-x+1/2,-y+1/2,-z'
'-x+1/2,y+1/2,-z'
'x+1/2,-y+1/2,z'
loop_
_atom_site_label
_atom_site_fract_x
_atom_site_fract_y
_atom_site_fract_z
Cs1 0.203 0.000 0.210
Hg1 0.000 0.500 0.000
Pb1 0.000 0.000 0.500
I1 0.116 0.500 0.433
I2 0.123 0.000 0.815
# Raw formation energy ... -0.989 eV per atom
# Total magnetic moment ... 0.00 μB/f.u.
# N(E_F) ... 0.000 states/eV per atom

***

11.
# Li2LaPtO (GGA-PBE, relaxed)
data_Li2LaPtO
_chemical_formula_sum 'Li2 La1 Pt1 O1'
_cell_length_a 4.172
_cell_length_b 4.172
_cell_length_c 4.894
_cell_angle_alpha 90.00
_cell_angle_beta 90.00
_cell_angle_gamma 90.00
_symmetry_space_group_name_H-M 'P 4/m m m'
_symmetry_Int_Tables_number 123
_symmetry_space_group_name_Hall '-P 4 2'
loop_
_atom_site_label
_atom_site_fract_x
_atom_site_fract_y
_atom_site_fract_z
Li1 0.000 0.500 0.000
La1 0.000 0.000 0.500
Pt1 0.500 0.500 0.500
O1 0.000 0.000 0.000
# Raw formation energy ... -1.441 eV per atom
# Total magnetic moment ... 0.00 μB/f.u.
# N(E_F) ... 0.603 states/eV per atom

***

12.
# Ca12Cd3F5 (GGA-PBE, relaxed)
data_Ca12Cd3F5
_chemical_formula_sum 'Ca96 Cd24 F40'
_cell_length_a 16.379
_cell_length_b 16.379
_cell_length_c 16.379
_cell_angle_alpha 90.00
_cell_angle_beta 90.00
_cell_angle_gamma 90.00
_symmetry_space_group_name_H-M 'I a -3 d'
_symmetry_Int_Tables_number 230
_symmetry_space_group_name_Hall '-I 4bd 2c 3'
loop_
_atom_site_label
_atom_site_fract_x
_atom_site_fract_y
_atom_site_fract_z
Ca1 0.037 0.054 0.653
Cd1 0.000 0.250 0.125
F1 0.000 0.000 0.000
F2 0.000 0.250 0.375
# Raw formation energy ... -1.440 eV per atom
# Total magnetic moment ... 0.00 μB/f.u.
# N(E_F) ... 0.611 states/eV per atom

***

Q: The highest N(E_F) belongs to which entry?
A: Y3Ho6Tm2Zr